CsMg2TlIn4 PBE relaxed; total magnetization = 0.00 μB/atom; electronic total energy = -0.08102 hartree per atom; energy of formation from the pure elements = -0.034 eV/atom
1.0
2.596 1.499 11.676
-2.596 1.499 11.676
0.000 -2.997 11.676
Cs Mg Tl In
1 2 1 4
Cartesian
0.000 0.000 0.000
0.000 0.000 7.239
0.000 0.000 27.789
0.000 0.000 17.514
0.000 0.000 3.961
0.000 0.000 14.423
0.000 0.000 20.605
0.000 0.000 31.066